# 1
DFT (PBE) results for crystalline Li6PdPb2 at its relaxed geometry.

Summary:
energy of formation: -25.3 kJ/mol of atoms
crystal system: monoclinic
raw total energy: -0.216 Ry/atom

Unit cell a=7.7829 b=7.7829 c=3.1074 alpha=90.97 beta=90.97 gamma=59.92
Sites, in units of the cell vectors:
Li 0.1805 0.4998 0.0116
Li 0.1810 0.8190 0.0000
Li 0.4998 0.1805 0.0116
Li 0.5002 0.8195 0.9884
Li 0.8190 0.1810 0.0000
Li 0.8195 0.5002 0.9884
Pd 0.5000 0.5000 0.5000
Pb 0.1669 0.1669 0.4997
Pb 0.8331 0.8331 0.5003


# 2
DFT (PBE) results for crystalline BeZnAg at its relaxed geometry.

Summary:
energy of formation: 42.5 kJ/mol of atoms
crystal system: cubic
E above lowest polymorph: 389.4 meV per atom
raw total energy: -0.160 Ry/atom

Unit cell a=4.1362 b=4.1362 c=4.1362 alpha=60.00 beta=60.00 gamma=60.00
Sites, in units of the cell vectors:
Be 0.0000 0.0000 0.0000
Zn 0.5000 0.5000 0.5000
Ag 0.2500 0.2500 0.2500